1.
Entry from Alexandria: a relaxed structure of NaScSn (PBE).

## Properties
The value obtained for the density of states at the Fermi level is 2.72 states/eV/f.u. The space group is C2/m. The calculation puts the calculated formation energy at -63 kJ/mol of formula units. Its total magnetic moment is 0.000 μB per cell. Its calculated total energy is -4.102 eV/atom.

a b c (Å): 16.9359 6.1235 6.1235
angles (deg): 149.24 147.34 32.66
With the nearest neighbours (Å) after each atom.
Positions (direct):
Sn  0.7421  0.3044  0.6956  4 Sc 3.09-3.10, 2 Sn 3.25, 5 Na 3.32-3.38
Na  0.6124  0.7333  0.2667  3 Na 3.25-3.51, 5 Sn 3.32-3.38
Na  0.3876  0.2667  0.7333  3 Na 3.25-3.51, 5 Sn 3.32-3.38
Sc  0.9801  0.6548  0.3452  5 Sc 3.08-3.29, 4 Sn 3.09-3.10
Sc  0.0199  0.3452  0.6548  5 Sc 3.08-3.29, 4 Sn 3.09-3.10
Sn  0.2579  0.6956  0.3044  4 Sc 3.09-3.10, 2 Sn 3.25, 5 Na 3.32-3.38

2.
Entry from Alexandria: a relaxed structure of Re2SnBRh (PBE).

## Properties
The value obtained for the density of states at the Fermi level is 5.04 states/eV/f.u. The space group is P4/mmm. The calculation puts the calculated formation energy at 767 kJ/mol of formula units. Its total magnetic moment is 0.000 μB per cell. Its calculated total energy is -6.997 eV/atom.

a b c (Å): 4.8368 3.8570 4.8368
angles (deg): 90.00 90.00 90.00
With the nearest neighbours (Å) after each atom.
Positions (direct):
Rh  0.0000  0.0000  0.0000  2 B 1.93
Re  0.0000  0.0000  0.5000  2 Rh 2.42
Re  0.5000  0.0000  0.0000  2 Rh 2.42
Sn  0.5000  0.5000  0.5000  8 Re 3.09, 4 B 3.42
B  0.0000  0.5000  0.0000  2 Rh 1.93

3.
Entry from Alexandria: a relaxed structure of Ti5Al5Rh (PBE).

## Properties
The value obtained for the density of states at the Fermi level is 6.13 states/eV/f.u. The space group is Cmmm. The calculation puts the calculated formation energy at -232 kJ/mol of formula units. Its total magnetic moment is 0.000 μB per cell. Its calculated total energy is -6.177 eV/atom.

a b c (Å): 4.4907 7.2305 5.9787
angles (deg): 90.01 90.00 108.09
With the nearest neighbours (Å) after each atom.
Positions (direct):
Al  0.5000  0.0000  0.0000  2 Rh 2.25, 4 Ti 2.51
Ti  0.6366  0.2733  0.7220  4 Al 2.51-2.72, 1 Ti 2.66
Al  0.1938  0.3877  0.4999  7 Ti 2.66-2.72, 2 Al 2.72
Ti  0.6367  0.2734  0.2778  4 Al 2.51-2.72, 1 Ti 2.66
Ti  0.0000  0.0000  0.5000  2 Al 2.66
Al  0.8062  0.6123  0.5001  7 Ti 2.66-2.72, 2 Al 2.72
Rh  0.0000  0.0000  0.0000  2 Al 2.25
Al  0.1878  0.3756  0.9999  1 Rh 2.58, 2 Al 2.82, 4 Ti 2.88
Ti  0.3633  0.7266  0.7222  4 Al 2.51-2.72, 1 Ti 2.66
Ti  0.3634  0.7267  0.2780  4 Al 2.51-2.72, 1 Ti 2.66
Al  0.8122  0.6244  0.0001  1 Rh 2.58, 2 Al 2.82, 4 Ti 2.88